1:
CuP4S3Br | PBEsol | optimized geometry

```
CuP4S3Br
1.0
6.2538 0.0000 0.0000
-2.5400 8.7776 0.0000
-2.2003 -3.0639 15.1629
Cu P S Br
4 16 12 4
direct
0.0043 0.3884 0.2058
0.3611 0.1583 0.0830
0.6389 0.8417 0.9170
0.9957 0.6116 0.7942
0.0151 0.3867 0.8242
0.1217 0.6887 0.6778
0.1372 0.8601 0.5082
0.1434 0.0603 0.8077
0.1520 0.9488 0.1219
0.1982 0.1832 0.9510
0.3530 0.6115 0.5962
0.4744 0.8468 0.6885
0.5256 0.1532 0.3115
0.6470 0.3885 0.4038
0.8018 0.8168 0.0490
0.8480 0.0512 0.8781
0.8566 0.9397 0.1923
0.8628 0.1399 0.4918
0.8783 0.3113 0.3222
0.9849 0.6133 0.1758
0.0829 0.2276 0.4076
0.1407 0.2419 0.7403
0.2251 0.4140 0.9466
0.2489 0.6642 0.4745
0.2843 0.7768 0.1600
0.4184 0.9993 0.6064
0.5816 0.0007 0.3936
0.7157 0.2232 0.8400
0.7511 0.3358 0.5255
0.7749 0.5860 0.0534
0.8593 0.7581 0.2597
0.9171 0.7724 0.5924
0.2426 0.8074 0.9192
0.3813 0.3844 0.1925
0.6187 0.6156 0.8075
0.7574 0.1926 0.0808
```

Computed properties:
Spin magnetization = 0.0 μB/f.u.
SG = P-1, No. 2


2:
CuP4S3Br | PBEsol | optimized geometry

```
CuP4S3Br
1.0
3.7645 -10.9025 0.0000
3.7645 10.9025 0.0000
0.0000 0.0000 10.0455
Cu P S Br
4 16 12 4
direct
0.1860 0.1860 0.0000
0.3140 0.3140 0.5000
0.6860 0.6860 0.5000
0.8140 0.8140 0.0000
0.0664 0.2300 0.4562
0.1190 0.8810 0.7235
0.2184 0.7816 0.4713
0.2300 0.0664 0.5438
0.2700 0.4336 0.0438
0.2816 0.7184 0.9713
0.3810 0.6190 0.2235
0.4336 0.2700 0.9562
0.5664 0.7300 0.0438
0.6190 0.3810 0.7765
0.7184 0.2816 0.0287
0.7300 0.5664 0.9562
0.7700 0.9336 0.4562
0.7816 0.2184 0.5287
0.8810 0.1190 0.2765
0.9336 0.7700 0.5438
0.0558 0.3728 0.5694
0.1272 0.4442 0.9306
0.2133 0.7867 0.6818
0.2867 0.7133 0.1818
0.3728 0.0558 0.4306
0.4442 0.1272 0.0694
0.5558 0.8728 0.9306
0.6272 0.9442 0.5694
0.7133 0.2867 0.8182
0.7867 0.2133 0.3182
0.8728 0.5558 0.0694
0.9442 0.6272 0.4306
0.0281 0.9719 0.1886
0.4719 0.5281 0.6886
0.5281 0.4719 0.3114
0.9719 0.0281 0.8114
```

Computed properties:
Spin magnetization = 0.0 μB/f.u.
SG = Cmce, No. 64


Which structure is the least stable? The one labeled 2.


1:
Cu2PbBr | PBEsol | optimized geometry

```
Cu2PbBr
1.0
1.7665 1.0199 7.1047
-1.7665 1.0199 7.1047
0.0000 -2.0398 7.1047
Cu Pb Br
2 1 1
direct
0.2460 0.2460 0.2460
0.7540 0.7540 0.7540
0.0000 0.0000 0.0000
0.5000 0.5000 0.5000
```

Computed properties:
Spin magnetization = 0.0 μB/f.u.
SG = R-3m, No. 166


2:
Cu2PbBr | PBEsol | optimized geometry

```
Cu2PbBr
1.0
3.4527 0.0000 0.0000
0.0000 3.8104 0.0000
-0.0128 0.0000 6.6048
Cu Pb Br
2 1 1
direct
0.0000 0.0000 0.0000
0.9997 0.5000 0.2177
0.5008 0.0000 0.3818
0.0004 0.5000 0.7822
```

Computed properties:
Spin magnetization = 0.0 μB/f.u.
SG = Pm, No. 6


Which structure is the least stable? The one labeled 1.


1:
Cu2PtBr | PBEsol | optimized geometry

```
Cu2PtBr
1.0
1.3950 0.8054 9.1645
-1.3950 0.8054 9.1645
0.0000 -1.6108 9.1645
Cu Pt Br
2 1 1
direct
0.0000 0.0000 0.0000
0.2652 0.2652 0.2652
0.5243 0.5243 0.5243
0.7457 0.7457 0.7457
```

Computed properties:
Spin magnetization = 0.0 μB/f.u.
SG = R3m, No. 160


2:
Cu2PtBr | PBEsol | optimized geometry

```
Cu2PtBr
1.0
2.9907 0.0000 0.0000
0.0000 3.1824 0.0000
0.0000 0.0000 6.7034
Cu Pt Br
2 1 1
direct
0.0000 0.0000 0.2063
0.0000 0.0000 0.7937
0.5000 0.5000 0.0000
0.0000 0.5000 0.5000
```

Computed properties:
Spin magnetization = 0.0 μB/f.u.
SG = Pmmm, No. 47


Which structure is the least stable? The one labeled 1.


1:
CuPt2Br | PBEsol | optimized geometry

```
CuPt2Br
1.0
2.7112 -4.6076 0.0000
2.7112 4.6076 0.0000
-1.6572 0.0000 2.5327
Cu Pt Br
1 2 1
direct
0.0000 0.0000 0.0000
0.0000 0.5000 0.5000
0.5000 0.0000 0.5000
0.5000 0.5000 0.0000
```

Computed properties:
Spin magnetization = 0.0 μB/f.u.
SG = C2/m, No. 12


2:
CuPt2Br | PBEsol | optimized geometry

```
CuPt2Br
1.0
-1.4352 2.3107 4.6909
1.4352 -2.3107 4.6909
1.4352 2.3107 -4.6909
Cu Pt Br
1 2 1
direct
0.0000 0.0000 0.0000
0.2366 0.7366 0.5000
0.4902 0.4902 0.0000
0.7426 0.2426 0.5000
```

Computed properties:
Spin magnetization = 0.0 μB/f.u.
SG = Imm2, No. 44


Which structure is the least stable? The one labeled 2.